Record 1
An optimized crystal structure of GdTmGe. Source: Alexandria via LeMat-Bulk, functional PBE.

For the total energy, the calculation gives -24.76 eV per cell.

Structure (POSCAR):
```
GdTmGe
1.0
-1.4946 2.6586 -3.7953
-1.4227 -2.2000 -4.1040
-4.7020 0.0107 -1.2640
Tm Ge Gd
1 1 1
Cartesian
-3.8096 0.2347 -4.5816
-1.9048 0.1173 -2.2908
0.0000 0.0000 0.0000
```


Record 2
An optimized crystal structure of SrZn3Au. Source: Alexandria via LeMat-Bulk, functional PBE.

For the total energy, the calculation gives -4.35 eV per cell.

Structure (POSCAR):
```
SrZn3Au
1.0
-5.0199 1.2740 -3.3700
-1.1095 -6.0455 -0.6328
-3.4277 0.0910 5.1402
Sr Zn Au
1 3 1
Cartesian
0.0000 0.0000 0.0000
-1.7139 0.0455 2.5701
-2.5099 0.6370 -1.6850
-0.5548 -3.0227 -0.3164
-4.7785 -2.3402 0.5687
```


Record 3
An optimized crystal structure of ReAuSe2Br. Source: Alexandria via LeMat-Bulk, functional PBE.

The uncorrected formation energy is 3.09 eV/f.u. For the total energy, the calculation gives -21.28 eV per cell.

Structure (POSCAR):
```
ReAuSe2Br
1.0
-0.7813 2.9764 -3.6337
-0.9822 -3.7057 -2.8242
-5.2684 0.3282 1.4016
Se Re Au Br
2 1 1 1
Cartesian
-0.3907 1.4882 -1.8168
-0.4911 -1.8529 -1.4121
0.0000 0.0000 0.0000
-3.5160 -0.2006 -2.5281
-2.6342 0.1641 0.7008
```


Record 4
An optimized crystal structure of Er2MnOs. Source: Alexandria via LeMat-Bulk, functional PBE.

For the total energy, the calculation gives -29.74 eV per cell.

Structure (POSCAR):
```
Er2MnOs
1.0
4.8600 0.0000 0.0000
2.4300 4.2088 0.0000
2.4300 1.4029 3.9681
Er Mn Os
2 1 1
Cartesian
2.4300 1.4029 0.9920
7.2899 4.2088 2.9761
4.8600 2.8059 1.9841
0.0000 0.0000 0.0000
```


Record 5
An optimized crystal structure of Be2VPt. Source: Alexandria via LeMat-Bulk, functional PBE.

For the total energy, the calculation gives -24.24 eV per cell.

Structure (POSCAR):
```
Be2VPt
1.0
3.9948 0.0000 0.0000
1.9974 3.4596 0.0000
1.9974 1.1532 3.2617
Pt Be V
1 2 1
Cartesian
0.0000 0.0000 0.0000
5.9921 3.4596 2.4463
1.9974 1.1532 0.8154
3.9948 2.3064 1.6309
```


Record 6
An optimized crystal structure of Rb12P3Br5. Source: Alexandria via LeMat-Bulk, functional PBE.

The uncorrected formation energy is -16.74 eV/f.u. For the total energy, the calculation gives -211.77 eV per cell.

Structure (POSCAR):
```
Rb12P3Br5
1.0
-5.5495 12.9488 10.1880
3.1892 -14.0595 9.7171
14.5828 4.8599 -8.1231
Rb P Br
48 12 20
Cartesian
0.5957 -0.8011 6.9962
-2.7351 7.7147 8.3211
2.3454 5.5288 9.2477
14.9576 -3.9654 3.4609
8.8349 3.9110 11.1099
2.5451 9.4322 7.7984
12.2742 -4.8495 6.5260
3.3877 -0.1617 0.6721
10.0978 9.7926 3.6523
4.8460 0.5423 8.8198
13.1145 -1.0631 -2.1036
9.8771 -1.7796 2.5343
9.9493 4.5237 -3.3501
1.7504 -3.5765 4.7903
11.6268 4.5503 4.7858
5.5574 8.3127 4.2760
11.3199 7.0389 1.4557
7.3766 3.2069 2.9622
6.6645 6.2007 0.8569
2.2732 -0.7744 15.1321
8.8332 0.6074 7.6054
0.3015 2.0110 11.7338
11.9211 1.7383 0.0482
6.6651 -4.5634 7.5059
-0.3021 4.7157 6.7515
2.1247 -6.0434 8.1297
12.5246 -0.9665 5.0305
-0.1163 8.4801 10.8623
-0.0517 8.5987 5.2560
13.0562 5.5972 -5.1098
7.7013 14.8281 3.2030
3.3893 3.1418 4.1765
10.4722 7.3257 6.9917
5.5580 -2.4514 10.9251
9.6774 -5.6830 3.9836
6.5166 0.8437 -1.0887
9.5284 -2.4284 9.6554
-0.8920 4.8123 13.8855
-0.8337 -1.8479 16.8917
6.0206 -1.5480 5.4099
2.6941 6.1776 2.1266
4.5555 13.7805 4.9085
0.9026 -3.2897 10.3263
7.6670 -10.0313 6.8735
4.5212 -11.0788 8.5790
12.3388 -4.7308 0.9197
6.2019 5.2973 6.3721
5.7059 2.9055 12.8707
8.6646 6.4656 3.9191
-0.6410 1.3931 15.1869
9.4251 -2.6514 6.0314
-0.8114 10.7877 8.0983
13.0340 -7.0385 3.6837
3.5579 -2.7164 7.8629
7.7427 0.4470 11.0665
12.8636 2.3562 -3.4049
2.7974 6.4006 5.7506
-1.1433 5.0468 10.2695
13.3658 -1.2975 1.5125
4.4798 3.3022 0.7155
8.9228 1.0024 1.1140
0.5391 1.9484 5.2344
2.9678 -2.9941 12.8392
8.0746 6.1880 8.8953
11.6834 1.8008 6.5476
5.0558 10.8528 6.2668
8.9965 12.2066 1.7479
9.2547 6.7433 -1.0572
3.2260 -8.4574 10.0341
-2.7747 6.4744 5.0940
8.8860 -4.5998 0.7970
3.2997 2.7469 10.6680
7.2914 2.4300 -4.0615
4.5167 8.9044 1.0324
7.1668 -7.1035 5.5152
4.1480 -2.4387 2.8866
0.0000 0.0000 0.0000
-1.1801 -0.5553 9.9525
6.1113 1.8746 5.8910
1.5946 -7.0297 4.8586
```